A relaxed Nd3DyMg crystal. Source: Alexandria via LeMat-Bulk, functional PBE.

Lattice parameters (Å, degrees): 3.8535 11.2661 10.6889 90.00 90.00 133.21
Closest atoms and distances in Å follow each position.
Fractional positions:
Dy: 0.8629 0.0564 0.2500  2 Mg 3.12-3.13, 1 Nd 3.19
Dy: 0.1371 0.9436 0.7500  2 Mg 3.12-3.13, 1 Nd 3.19
Nd: 0.2784 0.7643 0.9978  2 Mg 3.31-3.32, 3 Dy 3.59-3.61, 2 Nd 3.70
Nd: 0.7216 0.2357 0.4978  2 Mg 3.31-3.32, 3 Dy 3.59-3.61, 2 Nd 3.70
Nd: 0.2784 0.7643 0.5022  2 Mg 3.31-3.32, 3 Dy 3.59-3.61, 2 Nd 3.70
Nd: 0.3613 0.5553 0.7500  1 Dy 3.19, 2 Mg 3.21
Nd: 0.7216 0.2357 0.0022  2 Mg 3.31-3.32, 3 Dy 3.59-3.61, 2 Nd 3.70
Nd: 0.6387 0.4447 0.2500  1 Dy 3.19, 2 Mg 3.21
Mg: 0.2370 0.2432 0.7500  2 Dy 3.12-3.13, 6 Nd 3.21-3.32
Mg: 0.7630 0.7568 0.2500  2 Dy 3.12-3.13, 6 Nd 3.21-3.32

Calculated values
Energy of formation ... 117 meV/atom
DOS at the Fermi energy ... 1.538 states/eV per atom
Polymorph energy (0 for the lowest one) ... 0.056 eV/atom

=====

A relaxed Pr4TlPt crystal. Source: Alexandria via LeMat-Bulk, functional PBE.

Lattice parameters (Å, degrees): 10.1490 10.1490 10.1490 60.00 60.00 60.00
Closest atoms and distances in Å follow each position.
Fractional positions:
Pr: 0.9423 0.5577 0.5577  2 Pt 2.99
Pr: 0.1886 0.8114 0.8114  2 Tl 3.38, 2 Pt 3.65, 2 Pr 3.65
Pr: 0.1886 0.8114 0.1886  2 Tl 3.38, 2 Pt 3.65, 2 Pr 3.65
Pr: 0.8114 0.1886 0.8114  2 Tl 3.38, 2 Pt 3.65, 2 Pr 3.65
Pr: 0.3995 0.8014 0.3995  3 Pt 2.98
Pr: 0.1886 0.1886 0.8114  2 Tl 3.38, 2 Pt 3.65, 2 Pr 3.65
Pr: 0.9423 0.9423 0.5577  2 Pt 2.99
Pr: 0.3995 0.3995 0.8014  3 Pt 2.98
Pr: 0.8114 0.1886 0.1886  2 Tl 3.38, 2 Pt 3.65, 2 Pr 3.65
Pr: 0.5577 0.5577 0.9423  2 Pt 2.99
Pr: 0.8014 0.3995 0.3995  3 Pt 2.98
Pr: 0.8114 0.8114 0.1886  2 Tl 3.38, 2 Pt 3.65, 2 Pr 3.65
Pr: 0.9423 0.5577 0.9423  2 Pt 2.99
Pr: 0.5577 0.9423 0.9423  2 Pt 2.99
Pr: 0.5577 0.9423 0.5577  2 Pt 2.99
Pr: 0.3995 0.3995 0.3995  3 Pt 2.98
Pt: 0.6067 0.6067 0.6067  6 Pr 2.98-2.99
Pt: 0.6067 0.1798 0.6067  6 Pr 2.98-2.99
Pt: 0.1798 0.6067 0.6067  6 Pr 2.98-2.99
Pt: 0.6067 0.6067 0.1798  6 Pr 2.98-2.99
Tl: 0.1657 0.5029 0.1657  9 Pr 3.38-3.63, 3 Tl 3.42
Tl: 0.1657 0.1657 0.5029  9 Pr 3.38-3.63, 3 Tl 3.42
Tl: 0.5029 0.1657 0.1657  9 Pr 3.38-3.63, 3 Tl 3.42
Tl: 0.1657 0.1657 0.1657  9 Pr 3.38-3.63, 3 Tl 3.42

Calculated values
Energy of formation ... -539 meV/atom
DOS at the Fermi energy ... 1.205 states/eV per atom
Polymorph energy (0 for the lowest one) ... 0.000 eV/atom

=====

A relaxed RbSn3Au3 crystal. Source: Alexandria via LeMat-Bulk, functional PBE.

Lattice parameters (Å, degrees): 7.7261 7.7261 7.7261 90.00 90.00 90.00
Closest atoms and distances in Å follow each position.
Fractional positions:
Au: 0.7500 0.0000 0.5000  4 Sn 2.73
Au: 0.5000 0.2500 0.0000  4 Sn 2.73
Au: 0.0000 0.5000 0.2500  4 Sn 2.73
Au: 0.2500 0.0000 0.5000  4 Sn 2.73
Au: 0.0000 0.5000 0.7500  4 Sn 2.73
Au: 0.5000 0.7500 0.0000  4 Sn 2.73
Rb: 0.5000 0.5000 0.5000  12 Sn 4.32, 12 Au 4.32
Rb: 0.0000 0.0000 0.0000  12 Sn 4.32, 12 Au 4.32
Sn: 0.5000 0.0000 0.7500  4 Au 2.73
Sn: 0.7500 0.5000 0.0000  4 Au 2.73
Sn: 0.5000 0.0000 0.2500  4 Au 2.73
Sn: 0.2500 0.5000 0.0000  4 Au 2.73
Sn: 0.0000 0.2500 0.5000  4 Au 2.73
Sn: 0.0000 0.7500 0.5000  4 Au 2.73

Calculated values
Energy of formation ... -151 meV/atom
DOS at the Fermi energy ... 0.840 states/eV per atom
Polymorph energy (0 for the lowest one) ... 0.000 eV/atom

=====

A relaxed Ac2Pa3S8 crystal. Source: Alexandria via LeMat-Bulk, functional PBE.

Lattice parameters (Å, degrees): 8.5131 8.5131 4.8011 90.00 90.00 111.18
Closest atoms and distances in Å follow each position.
Fractional positions:
S: 0.3519 0.1244 0.5000  3 Pa 2.79-2.90, 1 Ac 3.03
S: 0.3860 0.6140 0.0000  2 Pa 2.77, 2 Ac 2.94
S: 0.8903 0.1097 0.0000  4 Pa 2.85-2.98, 1 S 3.08
S: 0.8756 0.6481 0.5000  3 Pa 2.79-2.90, 1 Ac 3.03
S: 0.1097 0.8903 0.0000  4 Pa 2.85-2.98, 1 S 3.08
S: 0.6140 0.3860 0.0000  2 Pa 2.77, 2 Ac 2.94
S: 0.6481 0.8756 0.5000  3 Pa 2.79-2.90, 1 Ac 3.03
S: 0.1244 0.3519 0.5000  3 Pa 2.79-2.90, 1 Ac 3.03
Pa: 0.7346 0.7346 0.0000  8 S 2.77-2.98
Pa: 0.0000 0.0000 0.5000  8 S 2.79-2.85
Pa: 0.2654 0.2654 0.0000  8 S 2.77-2.98
Ac: 0.2658 0.7342 0.5000  8 S 2.94-3.25
Ac: 0.7342 0.2658 0.5000  8 S 2.94-3.25

Calculated values
DOS at the Fermi energy ... 0.891 states/eV per atom
Polymorph energy (0 for the lowest one) ... 0.000 eV/atom

=====

A relaxed CaMg2Au crystal. Source: Alexandria via LeMat-Bulk, functional PBE.

Lattice parameters (Å, degrees): 4.7513 4.7513 5.8741 66.23 66.23 59.85
Closest atoms and distances in Å follow each position.
Fractional positions:
Mg: 0.0347 0.0347 0.8965  3 Au 2.96-2.97, 3 Mg 3.02, 1 Ca 3.26
Mg: 0.7825 0.7825 0.6527  3 Au 2.74-2.75, 3 Mg 3.02
Au: 0.4403 0.4403 0.6803  6 Mg 2.74-2.97, 1 Ca 3.07
Ca: 0.2425 0.2425 0.2705  1 Au 3.07, 7 Mg 3.26-3.39

Calculated values
Energy of formation ... -390 meV/atom
DOS at the Fermi energy ... 0.711 states/eV per atom

=====

A relaxed MnPt4Rh3 crystal. Source: Alexandria via LeMat-Bulk, functional PBE.

Lattice parameters (Å, degrees): 2.7353 8.5451 6.8921 128.31 101.45 90.00
Closest atoms and distances in Å follow each position.
Fractional positions:
Pt: 0.6289 0.3966 0.2579  1 Mn 2.66, 5 Rh 2.67-2.77, 5 Pt 2.70-2.90
Pt: 0.3711 0.6034 0.7421  1 Mn 2.66, 5 Rh 2.67-2.77, 5 Pt 2.70-2.90
Pt: 0.6289 0.8612 0.2579  1 Mn 2.66, 5 Rh 2.67-2.77, 5 Pt 2.70-2.90
Pt: 0.3711 0.1388 0.7421  1 Mn 2.66, 5 Rh 2.67-2.77, 5 Pt 2.70-2.90
Mn: 0.5000 0.0000 0.0000  4 Rh 2.51, 4 Pt 2.66, 2 Mn 2.74
Rh: 0.2011 0.2011 0.4022  2 Mn 2.51, 6 Pt 2.67-2.77, 2 Rh 2.74
Rh: 0.7989 0.7989 0.5978  2 Mn 2.51, 6 Pt 2.67-2.77, 2 Rh 2.74
Rh: 0.0000 0.5000 0.0000  2 Rh 2.74, 8 Pt 2.76

Calculated values
Energy of formation ... 2 meV/atom
DOS at the Fermi energy ... 0.991 states/eV per atom

=====

A relaxed LiNdLuHg crystal. Source: Alexandria via LeMat-Bulk, functional PBE.

Lattice parameters (Å, degrees): 5.2638 5.2638 5.2638 60.00 60.00 60.00
Closest atoms and distances in Å follow each position.
Fractional positions:
Nd: 0.7500 0.7500 0.7500  4 Li 3.22, 4 Hg 3.22
Lu: 0.2500 0.2500 0.2500  4 Li 3.22, 4 Hg 3.22
Hg: 0.0000 0.0000 0.0000  4 Lu 3.22, 4 Nd 3.22
Li: 0.5000 0.5000 0.5000  4 Nd 3.22, 4 Lu 3.22

Calculated values
Energy of formation ... -196 meV/atom
DOS at the Fermi energy ... 1.271 states/eV per atom

=====

A relaxed YErGa crystal. Source: Alexandria via LeMat-Bulk, functional PBE.

Lattice parameters (Å, degrees): 4.9482 4.9482 4.9482 60.00 60.00 60.00
Closest atoms and distances in Å follow each position.
Fractional positions:
Y: 0.5000 0.5000 0.5000  4 Ga 3.03
Ga: 0.2500 0.2500 0.2500  4 Er 3.03, 4 Y 3.03
Er: 0.0000 0.0000 0.0000  4 Ga 3.03

Calculated values
Energy of formation ... -267 meV/atom
DOS at the Fermi energy ... 1.482 states/eV per atom
Polymorph energy (0 for the lowest one) ... 0.153 eV/atom

=====

A relaxed ErNpTcRu crystal. Source: Alexandria via LeMat-Bulk, functional PBE.

Lattice parameters (Å, degrees): 4.7617 4.7617 4.7617 60.00 60.00 60.00
Closest atoms and distances in Å follow each position.
Fractional positions:
Tc: 0.2500 0.2500 0.2500  4 Er 2.92, 4 Np 2.92
Er: 0.0000 0.0000 0.0000  4 Ru 2.92, 4 Tc 2.92
Np: 0.5000 0.5000 0.5000  4 Tc 2.92, 4 Ru 2.92
Ru: 0.7500 0.7500 0.7500  4 Er 2.92, 4 Np 2.92

Calculated values
Energy of formation ... -76 meV/atom
DOS at the Fermi energy ... 1.518 states/eV per atom

=====

A relaxed LiAcAg crystal. Source: Alexandria via LeMat-Bulk, functional PBE.

Lattice parameters (Å, degrees): 3.7849 3.7849 6.1501 107.92 107.92 90.00
Closest atoms and distances in Å follow each position.
Fractional positions:
Ac: 0.9441 0.9441 0.8881  5 Li 3.22-3.54, 5 Ag 3.41-3.42
Li: 0.6531 0.6531 0.3063  4 Ag 2.89, 1 Ac 3.22
Ag: 0.2528 0.2528 0.5056  4 Li 2.89

Calculated values
Energy of formation ... -102 meV/atom
DOS at the Fermi energy ... 0.916 states/eV per atom
Polymorph energy (0 for the lowest one) ... 0.081 eV/atom

=====

A relaxed NdH3Pt crystal. Source: Alexandria via LeMat-Bulk, functional PBE.

Lattice parameters (Å, degrees): 4.3942 4.9322 5.9590 90.00 80.85 90.00
Closest atoms and distances in Å follow each position.
Fractional positions:
H: 0.2776 0.9196 0.1926  1 Pt 1.65, 1 H 1.67
H: 0.3734 0.7500 0.6316  1 Pt 1.77
H: 0.7224 0.4196 0.8074  1 Pt 1.65, 1 H 1.67
H: 0.7224 0.0804 0.8074  1 Pt 1.65, 1 H 1.67
H: 0.6266 0.2500 0.3684  1 Pt 1.77
H: 0.2776 0.5804 0.1926  1 Pt 1.65, 1 H 1.67
Nd: 0.2304 0.2500 0.7313  7 H 2.36-2.59
Nd: 0.7696 0.7500 0.2687  7 H 2.36-2.59
Pt: 0.7055 0.7500 0.7663  3 H 1.65-1.77
Pt: 0.2945 0.2500 0.2337  3 H 1.65-1.77

Calculated values
DOS at the Fermi energy ... 0.113 states/eV per atom
Electronic total energy ... -46.714 eV per cell

=====

A relaxed KZnCu crystal. Source: Alexandria via LeMat-Bulk, functional PBE.

Lattice parameters (Å, degrees): 6.4728 6.4728 6.4728 152.96 144.95 44.82
Closest atoms and distances in Å follow each position.
Fractional positions:
Cu: 0.9357 0.9357 0.0000  4 Zn 2.51
Zn: 0.3978 0.3978 0.0000  4 Cu 2.51
K: 0.6664 0.6664 0.0000  2 K 3.03, 1 Zn 3.21, 1 Cu 3.22

Calculated values
Energy of formation ... 182 meV/atom
DOS at the Fermi energy ... 0.401 states/eV per atom
Polymorph energy (0 for the lowest one) ... 0.058 eV/atom

=====

A relaxed LaCu2SbS4 crystal. Source: Alexandria via LeMat-Bulk, functional PBE.

Lattice parameters (Å, degrees): 6.6630 6.0726 6.0726 69.02 56.73 56.73
Closest atoms and distances in Å follow each position.
Fractional positions:
Sb: 0.5000 0.5000 0.5000  4 S 2.69
S: 0.9559 0.5076 0.0855  1 Cu 2.21
S: 0.5491 0.4924 0.9145  1 Cu 2.21
S: 0.0441 0.9145 0.4924  1 Cu 2.21
S: 0.4509 0.0855 0.5076  1 Cu 2.21
Cu: 0.1771 0.3229 0.3229  2 S 2.21
Cu: 0.8229 0.6771 0.6771  2 S 2.21
La: 0.0000 0.0000 0.0000  8 S 3.00-3.14

Calculated values
DOS at the Fermi energy ... 0.101 states/eV per atom
Electronic total energy ... -39.294 eV per cell

=====

A relaxed BaTaCu crystal. Source: Alexandria via LeMat-Bulk, functional PBE.

Lattice parameters (Å, degrees): 4.3504 11.9569 4.3486 79.28 59.99 100.86
Closest atoms and distances in Å follow each position.
Fractional positions:
Cu: 0.0702 0.9589 0.3076  1 Cu 2.46, 3 Ta 2.58
Cu: 0.2987 0.1805 0.0802  1 Cu 2.46, 3 Ta 2.58
Ta: 0.5783 0.1283 0.4670  3 Cu 2.58, 3 Ta 2.83
Ta: 0.7905 0.0110 0.9209  3 Cu 2.58, 3 Ta 2.83
Ba: 0.2020 0.7640 0.8414  3 Cu 3.31
Ba: 0.1665 0.3753 0.5464  3 Cu 3.31

Calculated values
Energy of formation ... 331 meV/atom
DOS at the Fermi energy ... 0.777 states/eV per atom
Polymorph energy (0 for the lowest one) ... 0.021 eV/atom

=====

A relaxed Ac4Pr11Y9 crystal. Source: Alexandria via LeMat-Bulk, functional PBE.

Lattice parameters (Å, degrees): 3.7359 16.1039 16.1039 115.49 90.00 90.00
Closest atoms and distances in Å follow each position.
Fractional positions:
Y: 0.5000 0.6140 0.1749  8 Pr 3.62-3.70, 3 Y 3.63-3.74, 1 Ac 3.80
Y: 0.5000 0.3860 0.8251  8 Pr 3.62-3.70, 3 Y 3.63-3.74, 1 Ac 3.80
Y: 0.5000 0.0101 0.2004  8 Pr 3.61-3.67, 3 Y 3.62-3.74, 1 Ac 3.83
Y: 0.5000 0.2004 0.0101  8 Pr 3.61-3.67, 3 Y 3.62-3.74, 1 Ac 3.83
Y: 0.5000 0.9899 0.7996  8 Pr 3.61-3.67, 3 Y 3.62-3.74, 1 Ac 3.83
Y: 0.5000 0.7996 0.9899  8 Pr 3.61-3.67, 3 Y 3.62-3.74, 1 Ac 3.83
Y: 0.5000 0.5000 0.5000  2 Y 3.74, 4 Ac 3.79, 4 Pr 3.86
Y: 0.5000 0.1749 0.6140  8 Pr 3.62-3.70, 3 Y 3.63-3.74, 1 Ac 3.80
Y: 0.5000 0.8251 0.3860  8 Pr 3.62-3.70, 3 Y 3.63-3.74, 1 Ac 3.80
Pr: 0.0000 0.4043 0.0307  4 Pr 3.62-3.74, 6 Y 3.67-3.70, 2 Ac 3.81
Pr: 0.0000 0.2027 0.2027  3 Pr 3.48-3.74, 4 Y 3.61, 4 Ac 3.69
Pr: 0.0000 0.5957 0.9693  4 Pr 3.62-3.74, 6 Y 3.67-3.70, 2 Ac 3.81
Pr: 0.0000 0.1883 0.8117  8 Y 3.62-3.63, 4 Pr 3.74
Pr: 0.0000 0.6239 0.3761  4 Ac 3.65, 6 Y 3.68-3.86, 2 Pr 3.74
Pr: 0.0000 0.9693 0.5957  4 Pr 3.62-3.74, 6 Y 3.67-3.70, 2 Ac 3.81
Pr: 0.0000 0.3761 0.6239  4 Ac 3.65, 6 Y 3.68-3.86, 2 Pr 3.74
Pr: 0.0000 0.7973 0.7973  3 Pr 3.48-3.74, 4 Y 3.61, 4 Ac 3.69
Pr: 0.0000 0.0000 0.0000  4 Pr 3.48-3.74, 8 Y 3.67
Pr: 0.0000 0.0307 0.4043  4 Pr 3.62-3.74, 6 Y 3.67-3.70, 2 Ac 3.81
Pr: 0.0000 0.8117 0.1883  8 Y 3.62-3.63, 4 Pr 3.74
Ac: 0.5000 0.5861 0.7589  6 Pr 3.65-3.81, 2 Ac 3.74, 3 Y 3.79-3.83
Ac: 0.5000 0.7589 0.5861  6 Pr 3.65-3.81, 2 Ac 3.74, 3 Y 3.79-3.83
Ac: 0.5000 0.4139 0.2411  6 Pr 3.65-3.81, 2 Ac 3.74, 3 Y 3.79-3.83
Ac: 0.5000 0.2411 0.4139  6 Pr 3.65-3.81, 2 Ac 3.74, 3 Y 3.79-3.83

Calculated values
Energy of formation ... 59 meV/atom
DOS at the Fermi energy ... 1.507 states/eV per atom

=====

A relaxed BaTl3S8 crystal. Source: Alexandria via LeMat-Bulk, functional PBE.

Lattice parameters (Å, degrees): 8.8471 7.2458 9.0292 64.00 72.97 118.11
Closest atoms and distances in Å follow each position.
Fractional positions:
S: 0.5833 0.4585 0.3259  1 S 2.06
S: 0.7298 0.0310 0.6829  1 S 2.03
S: 0.2938 0.9893 0.2950  1 S 2.03
S: 0.6378 0.6117 0.4688  1 S 2.06
S: 0.8941 0.3089 0.9721  1 S 2.05
S: 0.2049 0.5604 0.8827  1 S 2.05
S: 0.3564 0.9612 0.0744  1 S 2.03
S: 0.9635 0.0187 0.6245  1 S 2.03
Tl: 0.5813 0.0134 0.4217  6 S 2.94-3.05
Tl: 0.8306 0.5018 0.6636  6 S 2.88-3.16
Tl: 0.3370 0.4974 0.1643  6 S 2.96-3.11
Ba: 0.0876 0.0477 0.9243  6 S 3.15-3.48

Calculated values
DOS at the Fermi energy ... 0.197 states/eV per atom
Electronic total energy ... -46.978 eV per cell